# 1
Entry from Alexandria via LeMat-Bulk: an optimized crystal structure of YMgAl2 (PBE).

a = 4.6093 Å, b = 4.6093 Å, c = 19.1904 Å
α = 90.00°, β = 90.00°, γ = 90.00°
Space group I-42d (No. 122)
Inequivalent atoms, fractional coordinates:
Y 0.0000 0.0000 0.0000
Mg 0.0000 0.0000 0.5000
Al 0.1566 0.2500 0.6250

Energy of formation in kJ/mol of formula units: 86

# 2
Entry from Alexandria via LeMat-Bulk: an optimized crystal structure of YMgAl (PBE).

a = 4.3733 Å, b = 4.3733 Å, c = 7.6181 Å
α = 90.00°, β = 90.00°, γ = 90.00°
Space group P4/nmm (No. 129, origin choice 2)
Inequivalent atoms, fractional coordinates:
Y 0.2500 0.2500 0.1763
Mg 0.2500 0.2500 0.7397
Al 0.2500 0.7500 0.5000

E above lowest polymorph in meV/atom: 230
Energy of formation in kJ/mol of formula units: -31

> What is the energy of formation in the second record?

-31 kJ/mol of formula units

> What is the energy of formation in the first record?

86 kJ/mol of formula units

> Which value of energy of formation does entry 2 give?

-31 kJ/mol of formula units